# CaNpP2N6 (PBE, optimized geometry)
data_CaNpP2N6
_chemical_formula_sum 'Ca2 Np2 P4 N12'
_cell_length_a 7.1587
_cell_length_b 7.1587
_cell_length_c 5.4952
_cell_angle_alpha 104.11
_cell_angle_beta 104.11
_cell_angle_gamma 86.17
_space_group_name_H-M_alt 'P 1'
_space_group_IT_number 1
_space_group_name_Hall 'P 1'
loop_
_atom_site_label
_atom_site_fract_x
_atom_site_fract_y
_atom_site_fract_z
_atom_site_occupancy
Ca1 0.0931 0.9069 0.7500 1
Ca2 0.9069 0.0931 0.2500 1
Np1 0.2901 0.7099 0.2500 1
Np2 0.7099 0.2901 0.7500 1
P1 0.2068 0.3659 0.8240 1
P2 0.3659 0.2068 0.3240 1
P3 0.6341 0.7932 0.6760 1
P4 0.7932 0.6341 0.1760 1
N1 0.0124 0.2431 0.6970 1
N2 0.1793 0.6034 0.8776 1
N3 0.2431 0.0124 0.1970 1
N4 0.3056 0.3632 0.1358 1
N5 0.3632 0.3056 0.6358 1
N6 0.3966 0.8207 0.6224 1
N7 0.6034 0.1793 0.3776 1
N8 0.6368 0.6944 0.3642 1
N9 0.6944 0.6368 0.8642 1
N10 0.7569 0.9876 0.8030 1
N11 0.8207 0.3966 0.1224 1
N12 0.9876 0.7569 0.3030 1
# **E_form (uncorrected)**: -0.7033 eV per atom
# **Total magnetic moment**: 2.00 Bohr magnetons per cell
# **Space group**: C2/c, No. 15